[1]
A geometry-optimized CeTh3H8 structure, computed with GGA-PBE.

a = 5.472 Å, b = 5.472 Å, c = 5.472 Å
α = 90.00°, β = 90.00°, γ = 90.00°
Space group Pm-3m (No. 221)
Inequivalent atoms, fractional coordinates:
1 Ce 0.000 0.000 0.000 (multiplicity 1)
2 Th 0.000 0.500 0.500 (multiplicity 3)
3 H 0.253 0.253 0.253 (multiplicity 8)

Summary:
Calculated total energy (eV/atom): -5.108

---

[2]
A geometry-optimized PaGa4Ag structure, computed with GGA-PBE.

a = 7.752 Å, b = 7.752 Å, c = 7.752 Å
α = 90.00°, β = 90.00°, γ = 90.00°
Space group F-43m (No. 216)
Inequivalent atoms, fractional coordinates:
1 Pa 0.000 0.000 0.000 (multiplicity 4)
2 Ga 0.125 0.125 0.375 (multiplicity 16)
3 Ag 0.250 0.250 0.750 (multiplicity 4)

Summary:
Energy of formation (meV/atom): 1
Calculated total energy (eV/atom): -4.075

---

[3]
A geometry-optimized SrBeAgAu2 structure, computed with GGA-PBE.

a = 4.692 Å, b = 4.692 Å, c = 4.722 Å
α = 90.00°, β = 90.00°, γ = 90.00°
Space group P4/mmm (No. 123)
Inequivalent atoms, fractional coordinates:
1 Sr 0.000 0.000 0.000 (multiplicity 1)
2 Be 0.500 0.500 0.500 (multiplicity 1)
3 Ag 0.500 0.500 0.000 (multiplicity 1)
4 Au 0.000 0.500 0.500 (multiplicity 2)

Summary:
Energy of formation (meV/atom): -340
Calculated total energy (eV/atom): -3.303